Entry 1
A plane-wave DFT calculation with PBE-GGA was carried out for a geometry-optimized BaTaAl2 structure.

Cell and atoms, written as CIF:
```
data_BaTaAl2
_cell_length_a 7.1483
_cell_length_b 8.4146
_cell_length_c 2.9903
_cell_angle_alpha 90.00
_cell_angle_beta 90.23
_cell_angle_gamma 90.00
_symmetry_space_group_name_H-M 'C 1 2/m 1'
_symmetry_Int_Tables_number 12
loop_
_symmetry_equiv_pos_as_xyz
'x,y,z'
'-x,-y,-z'
'-x,y,-z'
'x,-y,z'
'x+1/2,y+1/2,z'
'-x+1/2,-y+1/2,-z'
'-x+1/2,y+1/2,-z'
'x+1/2,-y+1/2,z'
loop_
_atom_site_label
_atom_site_type_symbol
_atom_site_fract_x
_atom_site_fract_y
_atom_site_fract_z
_atom_site_occupancy
Ba1 Ba 0.0000 0.0000 0.0000 1
Ta1 Ta 0.0000 0.5000 0.0000 1
Al1 Al 0.2500 0.2500 0.5000 1
```

---

Entry 2
A plane-wave DFT calculation with PBE-GGA was carried out for a geometry-optimized BaTaAl2 structure.

Cell and atoms, written as CIF:
```
data_BaTaAl2
_cell_length_a 4.4195
_cell_length_b 4.4195
_cell_length_c 9.6141
_cell_angle_alpha 90.00
_cell_angle_beta 90.00
_cell_angle_gamma 90.00
_symmetry_space_group_name_H-M 'I -4 m 2'
_symmetry_Int_Tables_number 119
_symmetry_space_group_name_Hall 'I -4 -2'
loop_
_atom_site_label
_atom_site_type_symbol
_atom_site_fract_x
_atom_site_fract_y
_atom_site_fract_z
_atom_site_occupancy
Ba1 Ba 0.0000 0.0000 0.0000 1
Ta1 Ta 0.0000 0.5000 0.7500 1
Al1 Al 0.0000 0.0000 0.5000 1
Al2 Al 0.0000 0.5000 0.2500 1
```

---

Entry 3
A plane-wave DFT calculation with PBE-GGA was carried out for a geometry-optimized BaTaAl2 structure.

Cell and atoms, written as CIF:
```
data_BaTaAl2
_cell_length_a 7.1165
_cell_length_b 7.1165
_cell_length_c 7.1165
_cell_angle_alpha 90.00
_cell_angle_beta 90.00
_cell_angle_gamma 90.00
_symmetry_space_group_name_H-M 'F -4 3 m'
_symmetry_Int_Tables_number 216
_symmetry_space_group_name_Hall 'F -4 2 3'
loop_
_atom_site_label
_atom_site_type_symbol
_atom_site_fract_x
_atom_site_fract_y
_atom_site_fract_z
_atom_site_occupancy
Ba1 Ba 0.0000 0.0000 0.0000 1
Ta1 Ta 0.2500 0.2500 0.2500 1
Al1 Al 0.0000 0.0000 0.5000 1
Al2 Al 0.2500 0.2500 0.7500 1
```

---

Entry 4
A plane-wave DFT calculation with PBE-GGA was carried out for a geometry-optimized BaTaAl2 structure.

Cell and atoms, written as CIF:
```
data_BaTaAl2
_cell_length_a 3.1398
_cell_length_b 3.1398
_cell_length_c 9.1204
_cell_angle_alpha 90.00
_cell_angle_beta 90.00
_cell_angle_gamma 90.00
_symmetry_space_group_name_H-M 'P 4/m m m'
_symmetry_Int_Tables_number 123
_symmetry_space_group_name_Hall '-P 4 2'
loop_
_atom_site_label
_atom_site_type_symbol
_atom_site_fract_x
_atom_site_fract_y
_atom_site_fract_z
_atom_site_occupancy
Ba1 Ba 0.0000 0.0000 0.0000 1
Ta1 Ta 0.0000 0.0000 0.5000 1
Al1 Al 0.5000 0.5000 0.2993 1
```

---

Energy ordering: entry 4 at the bottom, the next structure 372 meV/atom above.

---

Entry 1
A plane-wave DFT calculation with PBE-GGA was carried out for a geometry-optimized BaTaAl2 structure.

Cell and atoms, written as CIF:
```
data_BaTaAl2
_cell_length_a 3.0073
_cell_length_b 5.5772
_cell_length_c 10.9844
_cell_angle_alpha 90.00
_cell_angle_beta 90.00
_cell_angle_gamma 90.00
_symmetry_space_group_name_H-M 'I m m 2'
_symmetry_Int_Tables_number 44
loop_
_symmetry_equiv_pos_as_xyz
'x,y,z'
'-x,-y,z'
'-x,y,z'
'x,-y,z'
'x+1/2,y+1/2,z+1/2'
'-x+1/2,-y+1/2,z+1/2'
'-x+1/2,y+1/2,z+1/2'
'x+1/2,-y+1/2,z+1/2'
loop_
_atom_site_label
_atom_site_type_symbol
_atom_site_fract_x
_atom_site_fract_y
_atom_site_fract_z
_atom_site_occupancy
Ba1 Ba 0.0000 0.0000 0.0000 1
Ta1 Ta 0.0000 0.5000 0.7830 1
Al1 Al 0.0000 0.0000 0.4962 1
Al2 Al 0.0000 0.5000 0.2175 1
```

---

Entry 2
A plane-wave DFT calculation with PBE-GGA was carried out for a geometry-optimized BaTaAl2 structure.

Cell and atoms, written as CIF:
```
data_BaTaAl2
_cell_length_a 3.0532
_cell_length_b 3.7195
_cell_length_c 8.4154
_cell_angle_alpha 90.00
_cell_angle_beta 90.00
_cell_angle_gamma 90.00
_symmetry_space_group_name_H-M 'P m m 2'
_symmetry_Int_Tables_number 25
loop_
_symmetry_equiv_pos_as_xyz
'x,y,z'
'-x,-y,z'
'-x,y,z'
'x,-y,z'
loop_
_atom_site_label
_atom_site_type_symbol
_atom_site_fract_x
_atom_site_fract_y
_atom_site_fract_z
_atom_site_occupancy
Ba1 Ba 0.0000 0.0000 0.0000 1
Ta1 Ta 0.5000 0.5000 0.3419 1
Al1 Al 0.0000 0.0000 0.5087 1
Al2 Al 0.5000 0.5000 0.6808 1
```

---

Entry 3
A plane-wave DFT calculation with PBE-GGA was carried out for a geometry-optimized BaTaAl2 structure.

Cell and atoms, written as CIF:
```
data_BaTaAl2
_cell_length_a 9.9018
_cell_length_b 3.0540
_cell_length_c 6.5863
_cell_angle_alpha 90.00
_cell_angle_beta 99.16
_cell_angle_gamma 90.00
_symmetry_space_group_name_H-M 'C 1 m 1'
_symmetry_Int_Tables_number 8
loop_
_symmetry_equiv_pos_as_xyz
'x,y,z'
'x,-y,z'
'x+1/2,y+1/2,z'
'x+1/2,-y+1/2,z'
loop_
_atom_site_label
_atom_site_type_symbol
_atom_site_fract_x
_atom_site_fract_y
_atom_site_fract_z
_atom_site_occupancy
Ba1 Ba 0.0000 0.0000 0.0000 1
Ta1 Ta 0.2115 0.0000 0.6360 1
Al1 Al 0.2562 0.5000 0.3134 1
Al2 Al 0.4766 0.0000 0.5180 1
```

---

Entry 4
A plane-wave DFT calculation with PBE-GGA was carried out for a geometry-optimized BaTaAl2 structure.

Cell and atoms, written as CIF:
```
data_BaTaAl2
_cell_length_a 3.1936
_cell_length_b 5.3287
_cell_length_c 5.3483
_cell_angle_alpha 90.00
_cell_angle_beta 90.00
_cell_angle_gamma 90.00
_symmetry_space_group_name_H-M 'P m m m'
_symmetry_Int_Tables_number 47
loop_
_symmetry_equiv_pos_as_xyz
'x,y,z'
'-x,-y,-z'
'-x,-y,z'
'x,y,-z'
'x,-y,-z'
'-x,y,z'
'-x,y,-z'
'x,-y,z'
loop_
_atom_site_label
_atom_site_type_symbol
_atom_site_fract_x
_atom_site_fract_y
_atom_site_fract_z
_atom_site_occupancy
Ba1 Ba 0.0000 0.0000 0.0000 1
Ta1 Ta 0.5000 0.0000 0.5000 1
Al1 Al 0.0000 0.5000 0.5000 1
Al2 Al 0.5000 0.5000 0.0000 1
```

---

Energy ordering: entry 2 at the bottom, the next structure 58 meV/atom above.

---

Entry 1
A plane-wave DFT calculation with PBE-GGA was carried out for a geometry-optimized BaTaAl2 structure.

Cell and atoms, written as CIF:
```
data_BaTaAl2
_cell_length_a 4.6831
_cell_length_b 4.6831
_cell_length_c 8.2537
_cell_angle_alpha 90.00
_cell_angle_beta 90.00
_cell_angle_gamma 90.00
_symmetry_space_group_name_H-M 'I 4/m m m'
_symmetry_Int_Tables_number 139
_symmetry_space_group_name_Hall '-I 4 2'
loop_
_atom_site_label
_atom_site_type_symbol
_atom_site_fract_x
_atom_site_fract_y
_atom_site_fract_z
_atom_site_occupancy
Ba1 Ba 0.0000 0.0000 0.0000 1
Ta1 Ta 0.0000 0.0000 0.5000 1
Al1 Al 0.0000 0.5000 0.2500 1
```

---

Entry 2
A plane-wave DFT calculation with PBE-GGA was carried out for a geometry-optimized BaTaAl2 structure.

Cell and atoms, written as CIF:
```
data_BaTaAl2
_cell_length_a 5.5186
_cell_length_b 5.5186
_cell_length_c 2.9513
_cell_angle_alpha 90.00
_cell_angle_beta 90.00
_cell_angle_gamma 90.00
_symmetry_space_group_name_H-M 'P 4/m m m'
_symmetry_Int_Tables_number 123
_symmetry_space_group_name_Hall '-P 4 2'
loop_
_atom_site_label
_atom_site_type_symbol
_atom_site_fract_x
_atom_site_fract_y
_atom_site_fract_z
_atom_site_occupancy
Ba1 Ba 0.0000 0.0000 0.0000 1
Ta1 Ta 0.5000 0.5000 0.0000 1
Al1 Al 0.0000 0.5000 0.5000 1
```

---

Energy ordering: entry 2 at the bottom, the next structure 52 meV/atom above.

---

Entry 1
A plane-wave DFT calculation with PBE-GGA was carried out for a geometry-optimized BaAl2Tc structure.

Cell and atoms, written as CIF:
```
data_BaAl2Tc
_cell_length_a 3.2586
_cell_length_b 3.2586
_cell_length_c 8.0334
_cell_angle_alpha 90.00
_cell_angle_beta 90.00
_cell_angle_gamma 90.00
_symmetry_space_group_name_H-M 'P 4/m m m'
_symmetry_Int_Tables_number 123
_symmetry_space_group_name_Hall '-P 4 2'
loop_
_atom_site_label
_atom_site_type_symbol
_atom_site_fract_x
_atom_site_fract_y
_atom_site_fract_z
_atom_site_occupancy
Ba1 Ba 0.0000 0.0000 0.0000 1
Al1 Al 0.5000 0.5000 0.3375 1
Tc1 Tc 0.0000 0.0000 0.5000 1
```

---

Entry 2
A plane-wave DFT calculation with PBE-GGA was carried out for a geometry-optimized BaAl2Tc structure.

Cell and atoms, written as CIF:
```
data_BaAl2Tc
_cell_length_a 4.1773
_cell_length_b 4.1773
_cell_length_c 4.9972
_cell_angle_alpha 90.00
_cell_angle_beta 90.00
_cell_angle_gamma 90.00
_symmetry_space_group_name_H-M 'P 4/m m m'
_symmetry_Int_Tables_number 123
_symmetry_space_group_name_Hall '-P 4 2'
loop_
_atom_site_label
_atom_site_type_symbol
_atom_site_fract_x
_atom_site_fract_y
_atom_site_fract_z
_atom_site_occupancy
Ba1 Ba 0.0000 0.0000 0.0000 1
Al1 Al 0.0000 0.5000 0.5000 1
Tc1 Tc 0.5000 0.5000 0.0000 1
```

---

Energy ordering: entry 1 at the bottom, the next structure 834 meV/atom above.

---

Entry 1
A plane-wave DFT calculation with PBE-GGA was carried out for a geometry-optimized BaAl2Tc structure.

Cell and atoms, written as CIF:
```
data_BaAl2Tc
_cell_length_a 3.3362
_cell_length_b 3.9803
_cell_length_c 7.2496
_cell_angle_alpha 90.00
_cell_angle_beta 90.00
_cell_angle_gamma 90.00
_symmetry_space_group_name_H-M 'P m m 2'
_symmetry_Int_Tables_number 25
loop_
_symmetry_equiv_pos_as_xyz
'x,y,z'
'-x,-y,z'
'-x,y,z'
'x,-y,z'
loop_
_atom_site_label
_atom_site_type_symbol
_atom_site_fract_x
_atom_site_fract_y
_atom_site_fract_z
_atom_site_occupancy
Ba1 Ba 0.0000 0.0000 0.0000 1
Al1 Al 0.5000 0.0000 0.5771 1
Al2 Al 0.5000 0.5000 0.3190 1
Tc1 Tc 0.0000 0.5000 0.5849 1
```

---

Entry 2
A plane-wave DFT calculation with PBE-GGA was carried out for a geometry-optimized BaAl2Tc structure.

Cell and atoms, written as CIF:
```
data_BaAl2Tc
_cell_length_a 4.4419
_cell_length_b 4.4419
_cell_length_c 18.0759
_cell_angle_alpha 90.00
_cell_angle_beta 90.00
_cell_angle_gamma 120.00
_symmetry_space_group_name_H-M 'R 3 m'
_symmetry_Int_Tables_number 160
_symmetry_space_group_name_Hall 'R 3 -2"'
loop_
_atom_site_label
_atom_site_type_symbol
_atom_site_fract_x
_atom_site_fract_y
_atom_site_fract_z
_atom_site_occupancy
Ba1 Ba 0.0000 0.0000 0.0000 1
Al1 Al 0.0000 0.0000 0.1850 1
Al2 Al 0.0000 0.0000 0.4849 1
Tc1 Tc 0.0000 0.0000 0.8118 1
```

---

Energy ordering: entry 2 at the bottom, the next structure 101 meV/atom above.

---

Entry 1
A plane-wave DFT calculation with PBE-GGA was carried out for a geometry-optimized BaAlTc3 structure.

Cell and atoms, written as CIF:
```
data_BaAlTc3
_cell_length_a 5.0915
_cell_length_b 5.0915
_cell_length_c 5.0915
_cell_angle_alpha 90.00
_cell_angle_beta 90.00
_cell_angle_gamma 90.00
_symmetry_space_group_name_H-M 'P m -3 m'
_symmetry_Int_Tables_number 221
_symmetry_space_group_name_Hall '-P 4 2 3'
loop_
_atom_site_label
_atom_site_type_symbol
_atom_site_fract_x
_atom_site_fract_y
_atom_site_fract_z
_atom_site_occupancy
Ba1 Ba 0.0000 0.0000 0.0000 1
Al1 Al 0.5000 0.5000 0.5000 1
Tc1 Tc 0.0000 0.0000 0.5000 1
```

---

Entry 2
A plane-wave DFT calculation with PBE-GGA was carried out for a geometry-optimized BaAlTc3 structure.

Cell and atoms, written as CIF:
```
data_BaAlTc3
_cell_length_a 4.7802
_cell_length_b 4.7802
_cell_length_c 4.7802
_cell_angle_alpha 90.00
_cell_angle_beta 90.00
_cell_angle_gamma 90.00
_symmetry_space_group_name_H-M 'P m -3 m'
_symmetry_Int_Tables_number 221
_symmetry_space_group_name_Hall '-P 4 2 3'
loop_
_atom_site_label
_atom_site_type_symbol
_atom_site_fract_x
_atom_site_fract_y
_atom_site_fract_z
_atom_site_occupancy
Ba1 Ba 0.0000 0.0000 0.0000 1
Al1 Al 0.5000 0.5000 0.5000 1
Tc1 Tc 0.0000 0.5000 0.5000 1
```

---

Energy ordering: entry 2 at the bottom, the next structure 1651 meV/atom above.